[1]
# Pm4ZnSiI2

Pm4ZnSiI2 after structural relaxation (PBE-GGA, Alexandria).

Calculated values
N(E_F) = 5.2 states/eV per cell
formation energy (no corrections) = -735 meV per atom

Geometry as POSCAR:
```
Pm4ZnSiI2
1.0
-1.016 -3.208 -2.589
7.241 -0.615 -2.081
-1.071 -4.729 6.280
Pm Zn Si I
4 1 1 2
Direct
0.500 0.238 0.208
0.500 0.762 0.792
0.000 0.271 0.796
0.000 0.729 0.204
0.000 0.000 0.000
0.500 0.500 0.000
0.500 0.000 0.500
0.000 0.500 0.500
```

=====

[2]
# Pm8ZnSi3I4

Pm8ZnSi3I4 after structural relaxation (PBE-GGA, Alexandria).

Calculated values
N(E_F) = 8.1 states/eV per cell
formation energy (no corrections) = -835 meV per atom

Geometry as POSCAR:
```
Pm8ZnSi3I4
1.0
8.611 0.000 0.000
0.000 9.068 0.321
-4.305 -4.304 6.090
Pm Zn Si I
8 1 3 4
Direct
0.236 0.703 0.967
0.236 0.703 0.472
0.267 0.302 0.535
0.731 0.703 0.967
0.269 0.297 0.033
0.733 0.698 0.465
0.764 0.297 0.528
0.764 0.297 0.033
0.000 0.500 0.000
0.500 0.500 0.000
0.500 0.500 0.500
0.000 0.500 0.500
0.500 0.000 0.000
0.500 0.000 0.500
0.000 0.000 0.000
0.000 0.000 0.500
```

=====

[3]
# PmSmI

PmSmI after structural relaxation (PBE-GGA, Alexandria).

Calculated values
N(E_F) = 3.8 states/eV per cell
formation energy (no corrections) = -461 meV per atom
relative energy among the computed polymorphs = 84.8 meV/atom

Geometry as POSCAR:
```
PmSmI
1.0
3.741 0.000 0.000
0.000 3.741 0.000
-1.871 -1.871 7.153
I Sm Pm
1 1 1
Direct
0.333 0.333 0.666
0.671 0.671 0.342
0.996 0.996 0.993
```

=====

[4]
# PmSm2I8

PmSm2I8 after structural relaxation (PBE-GGA, Alexandria).

Calculated values
N(E_F) = 0.8 states/eV per cell
formation energy (no corrections) = -1241 meV per atom

Geometry as POSCAR:
```
PmSm2I8
1.0
-3.088 -3.545 5.768
10.182 -1.069 3.352
6.269 6.479 5.896
Pm Sm I
1 2 8
Direct
0.000 0.000 0.000
0.420 0.144 0.144
0.580 0.856 0.856
0.739 0.198 0.681
0.261 0.319 0.802
0.826 0.141 0.141
0.174 0.859 0.859
0.739 0.681 0.198
0.261 0.802 0.319
0.349 0.286 0.286
0.651 0.714 0.714
```

=====

[5]
# PmSmI2

PmSmI2 after structural relaxation (PBE-GGA, Alexandria).

Calculated values
N(E_F) = 1.8 states/eV per cell
formation energy (no corrections) = -826 meV per atom
relative energy among the computed polymorphs = 0.0 meV/atom

Geometry as POSCAR:
```
PmSmI2
1.0
-2.194 3.066 0.859
-1.045 0.664 3.663
6.896 6.583 2.813
Pm Sm I
1 1 2
Direct
0.502 0.502 0.494
0.665 0.665 0.005
0.083 0.083 0.750
0.250 0.250 0.250
```

=====

[6]
# Pm2SmI5

Pm2SmI5 after structural relaxation (PBE-GGA, Alexandria).

Calculated values
N(E_F) = 21.8 states/eV per cell
formation energy (no corrections) = -882 meV per atom

Geometry as POSCAR:
```
Pm2SmI5
1.0
7.581 0.000 0.000
0.000 14.058 0.000
0.000 0.000 13.551
Pm Sm I
8 4 20
Direct
0.248 0.000 0.000
0.752 0.000 0.000
0.000 0.103 0.601
0.500 0.397 0.101
0.252 0.500 0.500
0.748 0.500 0.500
0.500 0.603 0.899
0.000 0.897 0.399
0.000 0.303 0.218
0.500 0.197 0.718
0.500 0.803 0.282
0.000 0.697 0.782
0.000 0.099 0.837
0.500 0.999 0.809
0.000 0.122 0.361
0.253 0.221 0.065
0.747 0.221 0.065
0.247 0.279 0.565
0.753 0.279 0.565
0.500 0.378 0.861
0.000 0.501 0.309
0.500 0.401 0.337
0.500 0.599 0.663
0.000 0.499 0.691
0.500 0.622 0.139
0.247 0.721 0.435
0.753 0.721 0.435
0.253 0.779 0.935
0.747 0.779 0.935
0.000 0.878 0.639
0.500 0.001 0.191
0.000 0.901 0.163
```